No. 1
# Cs3Pm3NpO8, optimized geometry, DFT PBE
data_Cs3Pm3NpO8
_chemical_formula_sum 'Cs9 Pm9 Np3 O24'
_cell_length_a 7.2461
_cell_length_b 7.2461
_cell_length_c 21.0713
_cell_angle_alpha 90.00
_cell_angle_beta 90.00
_cell_angle_gamma 120.00
_symmetry_space_group_name_H-M 'R -3 m'
_symmetry_Int_Tables_number 166
_symmetry_space_group_name_Hall '-R 3 2"'
loop_
_atom_site_label
_atom_site_type_symbol
_atom_site_fract_x
_atom_site_fract_y
_atom_site_fract_z
Cs1 Cs 0.0000 0.5000 0.0000
Pm1 Pm 0.0000 0.5000 0.5000
Np1 Np 0.0000 0.0000 0.5000
O1 O 0.0000 0.0000 0.2209
O2 O 0.0184 0.5092 0.2192
# - Calculated density: 6.23 g/cm3
# - Total energy: -0.5353 Ry per atom

***

No. 2
# Tm, optimized geometry, DFT PBE
data_Tm
_chemical_formula_sum 'Tm4'
_cell_length_a 3.5001
_cell_length_b 3.5001
_cell_length_c 11.2336
_cell_angle_alpha 90.00
_cell_angle_beta 90.00
_cell_angle_gamma 120.00
_symmetry_space_group_name_H-M 'P 63/m m c'
_symmetry_Int_Tables_number 194
_symmetry_space_group_name_Hall '-P 6c 2c'
loop_
_atom_site_label
_atom_site_type_symbol
_atom_site_fract_x
_atom_site_fract_y
_atom_site_fract_z
Tm1 Tm 0.0000 0.0000 0.0000
Tm2 Tm 0.3333 0.6667 0.2500
# - Energy of formation: 0.01 eV/atom
# - Calculated density: 9.41 g/cm3
# - Energy relative to the lowest polymorph listed for this composition: 9 meV/atom
# - Total energy: -0.3280 Ry per atom

***

No. 3
# Pr2Ho12Er5, optimized geometry, DFT PBE
data_Pr2Ho12Er5
_chemical_formula_sum 'Pr4 Ho24 Er10'
_cell_length_a 15.729
_cell_length_b 9.182
_cell_length_c 8.476
_cell_angle_alpha 90.00
_cell_angle_beta 90.96
_cell_angle_gamma 90.00
_symmetry_space_group_name_H-M 'C 1 2/m 1'
_symmetry_Int_Tables_number 12
loop_
_symmetry_equiv_pos_as_xyz
'x,y,z'
'-x,-y,-z'
'-x,y,-z'
'x,-y,z'
'x+1/2,y+1/2,z'
'-x+1/2,-y+1/2,-z'
'-x+1/2,y+1/2,-z'
'x+1/2,-y+1/2,z'
loop_
_atom_site_label
_atom_site_type_symbol
_atom_site_fract_x
_atom_site_fract_y
_atom_site_fract_z
Pr1 Pr 0.000 0.186 0.000
Ho1 Ho 0.058 0.000 0.329
Ho2 Ho 0.095 0.500 0.883
Ho3 Ho 0.126 0.192 0.651
Ho4 Ho 0.158 0.319 0.246
Er1 Er 0.000 0.500 0.500
Er2 Er 0.197 0.000 0.008
Er3 Er 0.233 0.500 0.577
# - Energy of formation: 0.14 eV/atom
# - Calculated density: 8.40 g/cm3
# - Energy relative to the lowest polymorph listed for this composition: 80 meV/atom
# - Total energy: -0.3278 Ry per atom